PBE Al2TlTe, relaxed; E = -12.79 eV per cell; uncorrected formation energy = 0.05 eV/atom; space group = No. 99
1.0
3.7457 0.0000 0.0000
0.0000 3.7457 0.0000
0.0000 0.0000 7.4586
Tl Te Al
1 1 2
Direct
0.5000 0.5000 0.8064
0.0000 0.0000 0.4136
0.0000 0.0000 0.0434
0.5000 0.5000 0.2366

=====

PBE InSb2Au, relaxed; E = -13.93 eV per cell; uncorrected formation energy = 0.08 eV/atom; space group = No. 160
1.0
-2.1186 -8.5106 4.3779
-1.8203 -9.5728 1.0641
1.0287 -9.2556 3.0595
Au In Sb
1 1 2
Direct
0.4988 0.4988 0.4988
0.7600 0.7600 0.7600
0.0038 0.0038 0.0038
0.2373 0.2373 0.2373

=====

PBE RbCaLaCl6, relaxed; E = -79.75 eV per cell; uncorrected formation energy = -2.32 eV/atom; space group = No. 163
1.0
-5.1689 0.4924 -5.2084
-1.0336 -4.3993 5.8022
-6.0220 10.6214 6.9805
Rb Ca La Cl
2 2 2 12
Direct
0.0000 0.0000 0.0000
0.0000 0.0000 0.5000
0.3333 0.6667 0.2500
0.6667 0.3333 0.7500
0.6667 0.3333 0.2500
0.3333 0.6667 0.7500
0.6255 0.6297 0.1406
0.0042 0.3745 0.1406
0.3745 0.0042 0.6407
0.9958 0.6255 0.8594
0.3703 0.3745 0.3594
0.0042 0.6297 0.3594
0.6297 0.0042 0.8594
0.6255 0.9958 0.3594
0.9958 0.3703 0.6407
0.3703 0.9958 0.1406
0.6297 0.6255 0.6407
0.3745 0.3703 0.8594

=====

PBE RbAl2Cl, relaxed; E = -22.21 eV per cell; uncorrected formation energy = -0.20 eV/atom; space group = No. 122
1.0
4.6233 0.0000 0.0000
0.0000 4.6233 0.0000
2.3116 2.3116 11.9401
Al Rb Cl
4 2 2
Direct
0.5041 0.1250 0.2500
0.2459 0.6250 0.2500
0.3750 0.4959 0.7500
0.8750 0.7541 0.7500
0.0000 0.0000 0.0000
0.7500 0.2500 0.5000
0.5000 0.5000 0.0000
0.2500 0.7500 0.5000

=====

PBE RbNaAgH3, relaxed; E = -31.25 eV per cell; space group = No. 11
1.0
-0.3524 -3.0626 -1.9324
-2.3123 -3.9745 6.7208
-6.8283 2.9168 -3.3777
Rb Na Ag H
2 2 2 6
Direct
0.2500 0.2172 0.2243
0.7500 0.7828 0.7757
0.2500 0.6386 0.1438
0.7500 0.3614 0.8562
0.2500 0.0799 0.6292
0.7500 0.9201 0.3708
0.7500 0.8713 0.1456
0.2500 0.1287 0.8544
0.2500 0.8528 0.4594
0.7500 0.1472 0.5406
0.7500 0.4533 0.1526
0.2500 0.5467 0.8474

=====

PBE NdSn2As2Rh7, relaxed; E = -76.78 eV per cell; energy of formation from the pure elements = -0.27 eV/atom; space group = No. 12
1.0
-2.6713 2.8926 0.2642
-0.2204 -0.5336 3.9038
9.5373 10.4359 3.4017
Nd Sn As Rh
1 2 2 7
Direct
0.0000 0.0000 0.0000
0.8803 0.8803 0.4000
0.1197 0.1197 0.6000
0.5888 0.5888 0.7472
0.4112 0.4112 0.2528
0.5000 0.5000 0.0000
0.3659 0.3659 0.4229
0.6341 0.6341 0.5771
0.9461 0.4454 0.1553
0.4454 0.9461 0.1553
0.5546 0.0539 0.8447
0.0539 0.5546 0.8447